[1]
Crystalline SrLiIn2I5 at its relaxed geometry. Source: Alexandria, functional GGA-PBE.

abc: 10.5038 10.5038 15.2860
angles: 90.00 90.00 153.89
Sites, in units of the cell vectors:
Sr: 0.2045 0.7955 0.5000
Sr: 0.7955 0.2045 0.0000
Li: 0.4435 0.5565 0.8925
Li: 0.5565 0.4435 0.3925
In: 0.0909 0.9091 0.1297
In: 0.1239 0.8761 0.7972
In: 0.8761 0.1239 0.2972
In: 0.9091 0.0909 0.6297
I: 0.0423 0.9577 0.4890
I: 0.2850 0.7150 0.1479
I: 0.3088 0.6912 0.8511
I: 0.3633 0.6367 0.4704
I: 0.4933 0.5067 0.2350
I: 0.5067 0.4933 0.7350
I: 0.6367 0.3633 0.9704
I: 0.6912 0.3088 0.3511
I: 0.7150 0.2850 0.6479
I: 0.9577 0.0423 0.9890

Calculated values
uncorrected energy: -2.9002 eV/atom
formation energy (no corrections): -1.03 eV per atom
N(E_F): 0.00 states/eV/cell
total magnetic moment: 0.00 μB per cell

---

[2]
Crystalline KBi4Pd9 at its relaxed geometry. Source: Alexandria, functional GGA-PBE.

abc: 9.5007 9.5007 9.5007
angles: 122.02 122.02 86.53
Sites, in units of the cell vectors:
K: 0.2500 0.2500 0.0000
K: 0.7500 0.7500 0.0000
Bi: 0.0540 0.5540 0.8556
Bi: 0.1983 0.0540 0.5000
Bi: 0.3017 0.8017 0.8556
Bi: 0.4460 0.3017 0.5000
Bi: 0.5540 0.6983 0.5000
Bi: 0.6983 0.1983 0.1444
Bi: 0.8017 0.9460 0.5000
Bi: 0.9460 0.4460 0.1444
Pd: 0.0000 0.5000 0.5000
Pd: 0.0628 0.7985 0.5000
Pd: 0.0648 0.2045 0.2693
Pd: 0.2015 0.7015 0.2643
Pd: 0.2045 0.9352 0.1397
Pd: 0.2955 0.4352 0.7307
Pd: 0.2985 0.5628 0.5000
Pd: 0.4352 0.7045 0.1397
Pd: 0.4372 0.9372 0.7357
Pd: 0.5000 0.0000 0.5000
Pd: 0.5628 0.0628 0.2643
Pd: 0.5648 0.2955 0.8603
Pd: 0.7015 0.4372 0.5000
Pd: 0.7045 0.5648 0.2693
Pd: 0.7955 0.0648 0.8603
Pd: 0.7985 0.2985 0.7357
Pd: 0.9352 0.7955 0.7307
Pd: 0.9372 0.2015 0.5000

Calculated values
uncorrected energy: -4.7659 eV/atom
calculated formation energy: -3.4 eV/f.u.
N(E_F): 18.18 states/eV/cell
total magnetic moment: 0.00 μB per cell

---

[3]
Crystalline BaMg2CuGe at its relaxed geometry. Source: Alexandria, functional GGA-PBE.

abc: 5.4161 5.4161 4.7395
angles: 90.00 90.00 90.00
Sites, in units of the cell vectors:
Ba: 0.0000 0.0000 0.0000
Mg: 0.0000 0.5000 0.5000
Mg: 0.5000 0.0000 0.5000
Cu: 0.5000 0.5000 0.0000
Ge: 0.5000 0.5000 0.5000

Calculated values
uncorrected energy: -2.6788 eV/atom
calculated formation energy: 0.4 eV/f.u.
N(E_F): 3.97 states/eV/cell
total magnetic moment: 0.00 μB per cell

---

[4]
Crystalline ZrCrGe at its relaxed geometry. Source: Alexandria, functional GGA-PBE.

abc: 4.2490 4.2490 6.7829
angles: 104.20 104.20 64.58
Sites, in units of the cell vectors:
Zr: 0.2056 0.2056 0.1836
Zr: 0.7944 0.7944 0.8164
Cr: 0.3888 0.3888 0.5776
Cr: 0.6112 0.6112 0.4224
Ge: 0.0000 0.0000 0.5000
Ge: 0.5000 0.5000 0.0000

Calculated values
uncorrected energy: -7.7950 eV/atom
calculated formation energy: -0.6 eV/f.u.
N(E_F): 5.30 states/eV/cell
total magnetic moment: 0.07 μB per cell